1.
# NaTaCu2S | Alexandria | meta-GGA SCAN | single point on PBEsol structure
data_NaTaCu2S
_space_group_name_H-M_alt 'P 4/m m m'
_space_group_IT_number 123
_space_group_name_Hall '-P 4 2'
_cell_length_a 4.865
_cell_length_b 4.865
_cell_length_c 4.646
_cell_angle_alpha 90.00
_cell_angle_beta 90.00
_cell_angle_gamma 90.00
loop_
_atom_site_label
_atom_site_fract_x
_atom_site_fract_y
_atom_site_fract_z
Na1 0.000 0.000 0.000
Ta1 0.500 0.500 0.500
Cu1 0.000 0.500 0.500
S1 0.500 0.500 0.000
# Energy ... -109.11 eV/cell
# Crystal system ... tetragonal
# M_tot ... 0.00 μB/f.u.
# ρ ... 5.5 g cm⁻³

2.
# Ta8VC4S8 | Alexandria | meta-GGA SCAN | single point on PBEsol structure
data_Ta8VC4S8
_space_group_name_H-M_alt 'R -3 m'
_space_group_IT_number 166
_space_group_name_Hall '-R 3 2"'
_cell_length_a 6.5414
_cell_length_b 6.5414
_cell_length_c 25.4061
_cell_angle_alpha 90.00
_cell_angle_beta 90.00
_cell_angle_gamma 120.00
loop_
_atom_site_label
_atom_site_fract_x
_atom_site_fract_y
_atom_site_fract_z
Ta1 0.0000 0.0000 0.1220
Ta2 0.0016 0.5008 0.1211
V1 0.0000 0.0000 0.0000
C1 0.0000 0.0000 0.5000
C2 0.0000 0.5000 0.5000
S1 0.0000 0.0000 0.2752
S2 0.0026 0.5013 0.2771
# Energy ... -2066.28 eV/cell
# Crystal system ... trigonal
# M_tot ... 2.57 μB/f.u.
# ρ ... 9.5 g cm⁻³

3.
# Fe2Mo | Alexandria | meta-GGA SCAN | single point on PBEsol structure
data_Fe2Mo
_space_group_name_H-M_alt 'C 1 2/m 1'
_space_group_IT_number 12
_cell_length_a 9.124
_cell_length_b 2.956
_cell_length_c 5.795
_cell_angle_alpha 90.00
_cell_angle_beta 107.73
_cell_angle_gamma 90.00
loop_
_space_group_symop_operation_xyz
'x,y,z'
'-x,-y,-z'
'-x,y,-z'
'x,-y,z'
'x+1/2,y+1/2,z'
'-x+1/2,-y+1/2,-z'
'-x+1/2,y+1/2,-z'
'x+1/2,-y+1/2,z'
loop_
_atom_site_label
_atom_site_fract_x
_atom_site_fract_y
_atom_site_fract_z
Fe1 0.001 0.000 0.236
Fe2 0.164 0.500 0.074
Mo1 0.166 0.500 0.593
# Crystal system ... monoclinic
# M_tot ... 4.53 μB/f.u.
# Formation enthalpy at 0 K ... 88 meV per atom
# ρ ... 9.3 g cm⁻³

4.
# MgGa2Ru2 | Alexandria | meta-GGA SCAN | single point on PBEsol structure
data_MgGa2Ru2
_space_group_name_H-M_alt 'P 4/m b m'
_space_group_IT_number 127
_space_group_name_Hall '-P 4 2ab'
_cell_length_a 6.894
_cell_length_b 6.894
_cell_length_c 3.132
_cell_angle_alpha 90.00
_cell_angle_beta 90.00
_cell_angle_gamma 90.00
loop_
_atom_site_label
_atom_site_fract_x
_atom_site_fract_y
_atom_site_fract_z
Mg1 0.000 0.000 0.000
Ga1 0.150 0.350 0.500
Ru1 0.146 0.646 0.000
# Crystal system ... tetragonal
# M_tot ... 0.00 μB/f.u.
# Formation enthalpy at 0 K ... -305 meV per atom
# ρ ... 8.2 g cm⁻³

5.
# AlRu2W | Alexandria | meta-GGA SCAN | single point on PBEsol structure
data_AlRu2W
_space_group_name_H-M_alt 'C 1 m 1'
_space_group_IT_number 8
_cell_length_a 9.232
_cell_length_b 2.989
_cell_length_c 4.324
_cell_angle_alpha 90.00
_cell_angle_beta 108.46
_cell_angle_gamma 90.00
loop_
_space_group_symop_operation_xyz
'x,y,z'
'x,-y,z'
'x+1/2,y+1/2,z'
'x+1/2,-y+1/2,z'
loop_
_atom_site_label
_atom_site_fract_x
_atom_site_fract_y
_atom_site_fract_z
Al1 0.000 0.000 0.000
Ru1 0.261 0.000 0.853
Ru2 0.499 0.000 0.496
W1 0.258 0.500 0.345
# Crystal system ... monoclinic
# M_tot ... 0.00 μB/f.u.
# Formation enthalpy at 0 K ... -323 meV per atom
# ρ ... 12.1 g cm⁻³

6.
# Li2FeF6 | Alexandria | meta-GGA SCAN | single point on PBEsol structure
data_Li2FeF6
_space_group_name_H-M_alt 'P 3 2 1'
_space_group_IT_number 150
_cell_length_a 8.3237
_cell_length_b 8.3237
_cell_length_c 4.5541
_cell_angle_alpha 90.00
_cell_angle_beta 90.00
_cell_angle_gamma 120.00
loop_
_space_group_symop_operation_xyz
'x,y,z'
'-y,x-y,z'
'-x+y,-x,z'
'y,x,-z'
'x-y,-y,-z'
'-x,-x+y,-z'
loop_
_atom_site_label
_atom_site_fract_x
_atom_site_fract_y
_atom_site_fract_z
Li1 0.0000 0.3015 0.0000
Li2 0.0000 0.6376 0.5000
Fe1 0.0000 0.0000 0.5000
Fe2 0.3333 0.6667 0.9899
F1 0.0970 0.8907 0.7209
F2 0.1283 0.5490 0.7669
F3 0.2226 0.7616 0.2130
# Crystal system ... trigonal
# M_tot ... 2.00 μB/f.u.
# Polymorph energy (0 for the lowest one) ... 0 meV per atom
# ρ ... 3.3 g cm⁻³